CaErAlZn: relaxed, GGA-PBE.

a b c (Å): 5.123 5.123 5.123
angles (deg): 60.00 60.00 60.00
Fractional positions:
1 Ca 0.250 0.250 0.250
2 Zn 0.000 0.000 0.000
3 Er 0.750 0.750 0.750
4 Al 0.500 0.500 0.500

Formation enthalpy at 0 K in eV per formula unit: -1.15
E above lowest polymorph in meV/atom: 11.4
Total DFT energy (no corrections) in eV/atom: -3.181
Volume in Å³/cell: 95.1

=====

Nd3SbTe3: relaxed, GGA-PBE.

a b c (Å): 9.363 9.363 8.378
angles (deg): 56.03 56.03 60.00
Fractional positions:
1 Nd 0.067 0.701 0.764
2 Sb 0.338 0.338 0.985
3 Te 0.182 0.899 0.273
4 Te 0.899 0.646 0.273
5 Nd 0.531 0.933 0.236
6 Nd 0.469 0.067 0.764
7 Nd 0.933 0.299 0.236
8 Te 0.101 0.354 0.727
9 Nd 0.701 0.469 0.764
10 Te 0.646 0.182 0.273
11 Nd 0.299 0.531 0.236
12 Sb 0.662 0.662 0.015
13 Te 0.354 0.818 0.727
14 Te 0.818 0.101 0.727

Total DFT energy (no corrections) in eV/atom: -5.264
Volume in Å³/cell: 486.0